## w
Crystalline LiZn4Ga4 at its relaxed geometry. Source: Alexandria via LeMat-Bulk, functional PBE-GGA.

Structure (CIF):
```
data_LiZn4Ga4
_symmetry_space_group_name_H-M 'I 4/m'
_symmetry_Int_Tables_number 87
_symmetry_space_group_name_Hall '-I 4'
_cell_length_a 7.9714
_cell_length_b 7.9714
_cell_length_c 4.9423
_cell_angle_alpha 90.00
_cell_angle_beta 90.00
_cell_angle_gamma 90.00
loop_
_atom_site_label
_atom_site_type_symbol
_atom_site_fract_x
_atom_site_fract_y
_atom_site_fract_z
Li1 Li 0.0000 0.0000 0.0000
Zn1 Zn 0.1061 0.2080 0.5000
Ga1 Ga 0.0650 0.3470 0.0000
```

=====

## x
Crystalline LiZn4Ga4 at its relaxed geometry. Source: Alexandria via LeMat-Bulk, functional PBE-GGA.

Structure (CIF):
```
data_LiZn4Ga4
_symmetry_space_group_name_H-M 'I 4/m m m'
_symmetry_Int_Tables_number 139
_symmetry_space_group_name_Hall '-I 4 2'
_cell_length_a 8.5631
_cell_length_b 8.5631
_cell_length_c 3.9916
_cell_angle_alpha 90.00
_cell_angle_beta 90.00
_cell_angle_gamma 90.00
loop_
_atom_site_label
_atom_site_type_symbol
_atom_site_fract_x
_atom_site_fract_y
_atom_site_fract_z
Li1 Li 0.0000 0.0000 0.0000
Zn1 Zn 0.0000 0.3387 0.0000
Ga1 Ga 0.1680 0.1680 0.5000
```

=====

Which is most stable, and by how much? x, by 42 meV per atom.